Computed, not measured: a relaxed BaScHg2Ir crystal at the PBE level of DFT.

## Properties
- calculated formation energy (kJ/mol of formula units) = -11

a b c (Å): 5.533 4.896 5.533
angles (deg): 90.00 90.00 90.00
Fractional positions:
1 Sc 0.000 0.000 0.000
2 Ir 0.000 0.500 0.000
3 Hg 0.000 0.000 0.500
4 Hg 0.500 0.000 0.000
5 Ba 0.500 0.500 0.500

Computed, not measured: a relaxed LaTb2Pm3Sm6 crystal at the PBE level of DFT.

## Properties
- calculated formation energy (kJ/mol of formula units) = 19

a b c (Å): 6.295 6.295 12.072
angles (deg): 95.00 95.00 119.98
Fractional positions:
1 La 0.000 0.000 0.000
2 Tb 0.333 0.667 0.000
3 Tb 0.667 0.333 0.000
4 Pm 0.167 0.833 0.500
5 Pm 0.833 0.167 0.500
6 Pm 0.500 0.500 0.500
7 Sm 0.916 0.582 0.750
8 Sm 0.749 0.749 0.250
9 Sm 0.084 0.418 0.250
10 Sm 0.582 0.916 0.750
11 Sm 0.251 0.251 0.750
12 Sm 0.418 0.084 0.250

Computed, not measured: a relaxed HoMg12Rh6 crystal at the PBE level of DFT.

## Properties
- calculated formation energy (kJ/mol of formula units) = -414

a b c (Å): 7.465 7.465 7.465
angles (deg): 103.80 103.80 103.80
Fractional positions:
1 Ho 0.000 0.000 0.000
2 Mg 0.881 0.119 0.500
3 Mg 0.830 0.563 0.563
4 Mg 0.563 0.563 0.830
5 Mg 0.437 0.170 0.437
6 Mg 0.437 0.437 0.170
7 Mg 0.170 0.437 0.437
8 Mg 0.119 0.500 0.881
9 Mg 0.500 0.881 0.119
10 Mg 0.119 0.881 0.500
11 Mg 0.881 0.500 0.119
12 Mg 0.500 0.119 0.881
13 Mg 0.563 0.830 0.563
14 Rh 0.703 0.250 0.250
15 Rh 0.250 0.250 0.703
16 Rh 0.250 0.703 0.250
17 Rh 0.750 0.750 0.297
18 Rh 0.297 0.750 0.750
19 Rh 0.750 0.297 0.750

Computed, not measured: a relaxed Tc2NiRh8 crystal at the PBE level of DFT.

## Properties
- calculated formation energy (kJ/mol of formula units) = 96

a b c (Å): 4.275 5.796 7.358
angles (deg): 113.19 106.89 90.00
Fractional positions:
1 Tc 0.193 0.693 0.387
2 Tc 0.807 0.307 0.613
3 Ni 0.500 0.000 0.000
4 Rh 0.637 0.861 0.275
5 Rh 0.363 0.586 0.725
6 Rh 0.177 0.177 0.355
7 Rh 0.000 0.275 0.000
8 Rh 0.823 0.823 0.645
9 Rh 0.637 0.414 0.275
10 Rh 0.363 0.139 0.725
11 Rh 0.000 0.725 0.000

Computed, not measured: a relaxed Ho3CuNi2 crystal at the PBE level of DFT.

## Properties
- calculated formation energy (kJ/mol of formula units) = -202

a b c (Å): 3.876 11.180 11.449
angles (deg): 90.00 90.00 90.00
Fractional positions:
1 Ho 0.250 0.372 0.054
2 Ho 0.750 0.628 0.946
3 Ho 0.750 0.872 0.446
4 Ho 0.250 0.128 0.554
5 Ho 0.250 0.677 0.204
6 Ho 0.750 0.323 0.796
7 Ho 0.750 0.177 0.296
8 Ho 0.250 0.823 0.704
9 Ho 0.250 0.428 0.377
10 Ho 0.750 0.572 0.623
11 Ho 0.750 0.928 0.123
12 Ho 0.250 0.072 0.877
13 Cu 0.250 0.120 0.125
14 Cu 0.750 0.880 0.875
15 Cu 0.750 0.620 0.375
16 Cu 0.250 0.380 0.625
17 Ni 0.250 0.692 0.488
18 Ni 0.750 0.308 0.512
19 Ni 0.750 0.192 0.012
20 Ni 0.250 0.808 0.988
21 Ni 0.250 0.998 0.312
22 Ni 0.750 0.002 0.688
23 Ni 0.750 0.498 0.188
24 Ni 0.250 0.502 0.812

Computed, not measured: a relaxed Ba2Ga5Ag12 crystal at the PBE level of DFT.

## Properties
- calculated formation energy (kJ/mol of formula units) = -260

a b c (Å): 7.379 7.379 7.379
angles (deg): 84.34 84.34 84.34
Fractional positions:
1 Ba 0.655 0.655 0.655
2 Ba 0.345 0.345 0.345
3 Ga 0.000 0.000 0.500
4 Ga 0.000 0.500 0.000
5 Ga 0.500 0.000 0.000
6 Ga 0.908 0.908 0.908
7 Ga 0.092 0.092 0.092
8 Ag 0.295 0.705 0.000
9 Ag 0.705 0.000 0.295
10 Ag 0.000 0.295 0.705
11 Ag 0.705 0.295 0.000
12 Ag 0.295 0.000 0.705
13 Ag 0.000 0.705 0.295
14 Ag 0.341 0.341 0.862
15 Ag 0.341 0.862 0.341
16 Ag 0.862 0.341 0.341
17 Ag 0.659 0.138 0.659
18 Ag 0.659 0.659 0.138
19 Ag 0.138 0.659 0.659

Number 1: DOS at the Fermi energy 3.69 states/eV/cell, electronic total energy -3.566 eV/atom. Number 2: DOS at the Fermi energy 17.63 states/eV/cell, electronic total energy -4.713 eV/atom. Number 3: DOS at the Fermi energy 10.77 states/eV/cell, electronic total energy -3.796 eV/atom. Number 4: DOS at the Fermi energy 15.65 states/eV/cell, electronic total energy -7.666 eV/atom. Number 5: DOS at the Fermi energy 17.13 states/eV/cell, electronic total energy -5.247 eV/atom. Number 6: DOS at the Fermi energy 8.21 states/eV/cell, electronic total energy -2.941 eV/atom.